# Th2MnNb

Th2MnNb after structural relaxation (PBE, the Alexandria database).

## Properties
Its density of states at the Fermi level is 6.4 states/eV/cell. Its calculated total energy is -7.79 eV per atom.

Geometry as POSCAR:
```
Th2MnNb
1.0
3.233 0.000 0.000
1.616 2.800 0.000
1.616 0.933 10.979
Nb Th Mn
1 2 1
direct
0.000 0.000 0.000 Nb
0.911 0.911 0.268 Th
0.089 0.089 0.732 Th
0.500 0.500 0.500 Mn
```